<1>
Entry from Alexandria: KYC2 after structural relaxation (GGA-PBE).

abc: 8.2769 8.2769 8.2769
angles: 143.63 143.63 52.38
Last column: nearest neighbours and their distance in Å.
Positions (direct):
K (0.0000, 0.0000, 0.0000)  4 C 3.04
K (0.7500, 0.2500, 0.5000)  4 C 3.04
Y (0.2500, 0.7500, 0.5000)  4 C 2.33
Y (0.5000, 0.5000, 0.0000)  4 C 2.33
C (0.2680, 0.6250, 0.1430)  2 Y 2.33
C (0.3750, 0.5180, 0.6430)  2 Y 2.33
C (0.4820, 0.1250, 0.8570)  2 Y 2.33
C (0.8750, 0.7320, 0.3570)  2 Y 2.33

Output
M_tot: 1.443 μB per cell
D(E_F): 5.991 states/eV per cell

***

<2>
Entry from Alexandria: KYC2 after structural relaxation (GGA-PBE).

abc: 4.5135 4.5135 4.5135
angles: 60.00 60.00 60.00
Last column: nearest neighbours and their distance in Å.
Positions (direct):
K (0.0000, 0.0000, 0.0000)  8 C 2.76
Y (0.5000, 0.5000, 0.5000)  8 C 2.76
C (0.2500, 0.2500, 0.2500)  4 Y 2.76, 4 K 2.76
C (0.7500, 0.7500, 0.7500)  4 Y 2.76, 4 K 2.76

Output
M_tot: 0.000 μB per cell
D(E_F): 2.610 states/eV per cell

***

Of them, <1> has the highest stability.